# 1
Entry from Alexandria via LeMat-Bulk: a relaxed structure of CuSiPtO6 (PBE).

Properties
Magnetization, Bohr magnetons per cell: 3.22
Crystal system: trigonal

a = 4.9355 Å, b = 4.9355 Å, c = 8.5596 Å
α = 90.00°, β = 90.00°, γ = 120.00°
Space group P-31c (No. 163)
Symmetry-distinct sites (fractional):
Cu 0.0000 0.0000 0.0000 x2
Si 0.3333 0.6667 0.2500 x2
Pt 0.3333 0.6667 0.7500 x2
O 0.0285 0.3682 0.1325 x12

---

# 2
Entry from Alexandria via LeMat-Bulk: a relaxed structure of SmCuPtO4 (PBE).

Properties
Magnetization, Bohr magnetons per cell: 0.00
Crystal system: orthorhombic

a = 6.4284 Å, b = 7.5566 Å, c = 8.7978 Å
α = 90.00°, β = 90.00°, γ = 90.00°
Space group Imma (No. 74)
Symmetry-distinct sites (fractional):
Sm 0.0000 0.0000 0.0000 x4
Cu 0.0000 0.2500 0.4621 x4
Pt 0.2500 0.2500 0.7500 x4
O 0.0000 0.0755 0.7401 x8
O 0.2203 0.2500 0.9905 x8

---

# 3
Entry from Alexandria via LeMat-Bulk: a relaxed structure of Sr3Cu2PtO9 (PBE).

Properties
Magnetization, Bohr magnetons per cell: 1.75
Crystal system: trigonal

a = 5.5651 Å, b = 5.5651 Å, c = 6.8987 Å
α = 90.00°, β = 90.00°, γ = 120.00°
Space group P-3m1 (No. 164)
Symmetry-distinct sites (fractional):
Sr 0.0000 0.0000 0.0000 x1
Sr 0.3333 0.6667 0.6736 x2
Cu 0.3333 0.6667 0.1518 x2
Pt 0.0000 0.0000 0.5000 x1
O 0.0000 0.5000 0.0000 x3
O 0.1684 0.3369 0.3369 x6

---

# 4
Entry from Alexandria via LeMat-Bulk: a relaxed structure of Sr2CuPtO4 (PBE).

Properties
Magnetization, Bohr magnetons per cell: 2.13
Crystal system: tetragonal

a = 6.0805 Å, b = 6.0805 Å, c = 6.4425 Å
α = 90.00°, β = 90.00°, γ = 90.00°
Space group I-4 (No. 82)
Symmetry-distinct sites (fractional):
Sr 0.0000 0.0000 0.0000 x2
Sr 0.0000 0.5000 0.2500 x2
Cu 0.0000 0.5000 0.7500 x2
Pt 0.0000 0.0000 0.5000 x2
O 0.1620 0.2900 0.5433 x8

---

# 5
Entry from Alexandria via LeMat-Bulk: a relaxed structure of SrCu4Pt3O12 (PBE).

Properties
Magnetization, Bohr magnetons per cell: 0.00
Crystal system: cubic

a = 7.5851 Å, b = 7.5851 Å, c = 7.5851 Å
α = 90.00°, β = 90.00°, γ = 90.00°
Space group Im-3 (No. 204)
Symmetry-distinct sites (fractional):
Sr 0.0000 0.0000 0.0000 x2
Cu 0.2500 0.2500 0.2500 x8
Pt 0.0000 0.0000 0.5000 x6
O 0.0000 0.3135 0.1787 x24

---

# 6
Entry from Alexandria via LeMat-Bulk: a relaxed structure of Sr2CuPt2O6 (PBE).

Properties
Magnetization, Bohr magnetons per cell: 0.00
Crystal system: trigonal

a = 5.9688 Å, b = 5.9688 Å, c = 16.2197 Å
α = 90.00°, β = 90.00°, γ = 120.00°
Space group R-3m (No. 166, hexagonal axes)
Symmetry-distinct sites (fractional):
Sr 0.0000 0.0000 0.2124 x6
Cu 0.0000 0.0000 0.0000 x3
Pt 0.0000 0.0000 0.4091 x6
O 0.0385 0.5193 0.7512 x18

---

# 7
Entry from Alexandria via LeMat-Bulk: a relaxed structure of TaCuPtO6 (PBE).

Properties
Magnetization, Bohr magnetons per cell: 3.12
Crystal system: tetragonal

a = 4.6800 Å, b = 4.6800 Å, c = 9.3065 Å
α = 90.00°, β = 90.00°, γ = 90.00°
Space group P4_2nm (No. 102)
Symmetry-distinct sites (fractional):
Ta 0.0000 0.0000 0.0000 x2
Cu 0.0000 0.0000 0.3303 x2
Pt 0.0000 0.0000 0.6651 x2
O 0.1940 0.1940 0.8345 x4
O 0.1957 0.1957 0.5005 x4
O 0.2008 0.2008 0.1575 x4

---

# 8
Entry from Alexandria via LeMat-Bulk: a relaxed structure of CuTcPtO2 (PBE).

Properties
Magnetization, Bohr magnetons per cell: 3.43
Crystal system: tetragonal

a = 3.6945 Å, b = 3.6945 Å, c = 5.1505 Å
α = 90.00°, β = 90.00°, γ = 90.00°
Space group P4/mmm (No. 123)
Symmetry-distinct sites (fractional):
Cu 0.0000 0.0000 0.0000 x1
Tc 0.0000 0.0000 0.5000 x1
Pt 0.5000 0.5000 0.5000 x1
O 0.0000 0.5000 0.0000 x2

---

# 9
Entry from Alexandria via LeMat-Bulk: a relaxed structure of CuTePtO6 (PBE).

Properties
Magnetization, Bohr magnetons per cell: 2.07
Crystal system: trigonal

a = 5.2008 Å, b = 5.2008 Å, c = 9.0015 Å
α = 90.00°, β = 90.00°, γ = 120.00°
Space group P-31c (No. 163)
Symmetry-distinct sites (fractional):
Cu 0.0000 0.0000 0.0000 x2
Te 0.3333 0.6667 0.2500 x2
Pt 0.3333 0.6667 0.7500 x2
O 0.0062 0.3540 0.1303 x12

---

# 10
Entry from Alexandria via LeMat-Bulk: a relaxed structure of Tl2CuPt2O6 (PBE).

Properties
Magnetization, Bohr magnetons per cell: 2.03
Crystal system: monoclinic

a = 5.4364 Å, b = 9.6944 Å, c = 6.5795 Å
α = 90.00°, β = 104.49°, γ = 90.00°
Space group C2/m (No. 12)
Symmetry-distinct sites (fractional):
Tl 0.0000 0.1619 0.0000 x4
Cu 0.0000 0.0000 0.5000 x2
Pt 0.0000 0.3343 0.5000 x4
O 0.2160 0.5000 0.6473 x4
O 0.2176 0.1756 0.6592 x8

---

# 11
Entry from Alexandria via LeMat-Bulk: a relaxed structure of Tl2Cu2PtO6 (PBE).

Properties
Magnetization, Bohr magnetons per cell: 4.60
Crystal system: trigonal

a = 5.8462 Å, b = 5.8462 Å, c = 16.1818 Å
α = 90.00°, β = 90.00°, γ = 120.00°
Space group R-3m (No. 166, hexagonal axes)
Symmetry-distinct sites (fractional):
Tl 0.0000 0.0000 0.2109 x6
Cu 0.0000 0.0000 0.3918 x6
Pt 0.0000 0.0000 0.0000 x3
O 0.0257 0.5129 0.7430 x18

---

Calculated total energy (eV/cell), listed in the same order as above: -109.10; -178.86; -84.57; -90.61; -218.35; -182.24; -126.97; -26.40; -97.69; -112.94; -161.55
Calculated E_form (uncorrected) (eV per formula unit), listed in the same order as above: -9.2; -10.0; -20.7; -12.0; -13.5; -11.5; -11.7; 4.0; -5.8; -5.8; -5.1
Calculated theoretical density (g cm⁻³), listed in the same order as above: 7.04; 7.35; 6.54; 6.94; 8.52; 7.22; 8.73; 9.18; 7.60; 9.48; 8.60